1.
A relaxed CdPPt2 crystal, computed with PBE.

Summary:
DFT formation energy = -64 kJ/mol of formula units
excess energy over the best structure of this formula in the dataset = 92.3 meV/atom

The structure in CIF format:
```
data_CdPPt2
_chemical_formula_sum 'Cd2 P2 Pt4'
_space_group_name_H-M_alt 'C m m m'
_space_group_IT_number 65
_space_group_name_Hall '-C 2 2'
_cell_length_a 4.343
_cell_length_b 4.351
_cell_length_c 6.927
_cell_angle_alpha 90.00
_cell_angle_beta 90.00
_cell_angle_gamma 90.00
loop_
_atom_site_label
_atom_site_type_symbol
_atom_site_fract_x
_atom_site_fract_y
_atom_site_fract_z
_atom_site_occupancy
Cd1 Cd 0.000 0.000 0.000 1
P1 P 0.000 0.000 0.500 1
Pt1 Pt 0.000 0.500 0.291 1
```

2.
A relaxed InGa3I crystal, computed with PBE.

Summary:
excess energy over the best structure of this formula in the dataset = 0.0 meV/atom
uncorrected formation energy = 1.11 eV/f.u.

The structure in CIF format:
```
data_InGa3I
_chemical_formula_sum 'In1 Ga3 I1'
_space_group_name_H-M_alt 'P m -3 m'
_space_group_IT_number 221
_space_group_name_Hall '-P 4 2 3'
_cell_length_a 5.440
_cell_length_b 5.440
_cell_length_c 5.440
_cell_angle_alpha 90.00
_cell_angle_beta 90.00
_cell_angle_gamma 90.00
loop_
_atom_site_label
_atom_site_type_symbol
_atom_site_fract_x
_atom_site_fract_y
_atom_site_fract_z
_atom_site_occupancy
In1 In 0.000 0.000 0.000 1
Ga1 Ga 0.000 0.000 0.500 1
I1 I 0.500 0.500 0.500 1
```

3.
A relaxed Ca3Ge4Pd crystal, computed with PBE.

Summary:
DFT formation energy = -353 kJ/mol of formula units

The structure in CIF format:
```
data_Ca3Ge4Pd
_chemical_formula_sum 'Ca6 Ge8 Pd2'
_space_group_name_H-M_alt 'I m m m'
_space_group_IT_number 71
_space_group_name_Hall '-I 2 2'
_cell_length_a 4.782
_cell_length_b 6.579
_cell_length_c 12.817
_cell_angle_alpha 90.00
_cell_angle_beta 90.00
_cell_angle_gamma 90.00
loop_
_atom_site_label
_atom_site_type_symbol
_atom_site_fract_x
_atom_site_fract_y
_atom_site_fract_z
_atom_site_occupancy
Ca1 Ca 0.000 0.000 0.000 1
Ca2 Ca 0.000 0.500 0.175 1
Ge1 Ge 0.000 0.303 0.385 1
Pd1 Pd 0.000 0.000 0.500 1
```

The evaluated volume for the records listed, in turn: 16.36; 32.20; 25.20 Å³ per atom.